DFT (GGA-PBE) results for a relaxed NaFeSbTe2 crystal.

Cell: 5.4168 5.4168 4.9012 Å, 90.00 90.00 90.00°
Space group P4/mmm (No. 123)
Asymmetric unit:
Na: 0.0000 0.0000 0.0000 [1 per cell]
Fe: 0.5000 0.5000 0.5000 [1 per cell]
Sb: 0.5000 0.5000 0.0000 [1 per cell]
Te: 0.0000 0.5000 0.5000 [2 per cell]

- Total magnetic moment: 2.56 μB/f.u.
- Energy relative to the elements, uncorrected: 0.07 eV per atom
- DOS at the Fermi energy: 5.8 states/eV/f.u.
- E_tot: -19.8 eV for the cell shown

---

DFT (GGA-PBE) results for a relaxed ErMg2Si crystal.

Cell: 4.2426 4.2426 4.6395 Å, 90.00 90.00 90.00°
Space group P4/mmm (No. 123)
Asymmetric unit:
Er: 0.0000 0.0000 0.0000 [1 per cell]
Mg: 0.0000 0.5000 0.5000 [2 per cell]
Si: 0.5000 0.5000 0.0000 [1 per cell]

- Total magnetic moment: 0.00 μB/f.u.
- Energy relative to the elements, uncorrected: -0.30 eV per atom
- DOS at the Fermi energy: 0.5 states/eV/f.u.
- E_tot: -14.4 eV for the cell shown